Computed, not measured: a relaxed NbInBi3 crystal at the GGA-PBEsol level of DFT.

Results
SG = Pm-3m (221)
Calculated formation energy = 659.3 kJ/mol of formula units
Spin magnetization = 0.651 μB/atom

a = 5.552 Å, b = 5.552 Å, c = 5.552 Å
α = 90.00°, β = 90.00°, γ = 90.00°
Site moments in Bohr magnetons follow the coordinates.
Positions (direct):
Nb1 0.500 0.500 0.500  2.61
Bi1 0.000 0.500 0.000  -0.07
Bi2 0.000 0.000 0.500  -0.07
Bi3 0.500 0.000 0.000  -0.07
In1 0.000 0.000 0.000  0.02

=====

Computed, not measured: a relaxed NbInBi2O7 crystal at the GGA-PBEsol level of DFT.

Results
SG = Imma (74)
Energy = -7.113 eV per atom
Spin magnetization = 0.000 μB/atom

a = 7.447 Å, b = 7.533 Å, c = 7.533 Å
α = 60.61°, β = 60.37°, γ = 60.37°
Positions (direct):
Nb1 0.500 0.000 0.000
Nb2 0.500 0.500 0.500
In1 0.000 0.000 0.500
In2 0.500 0.000 0.500
Bi1 0.500 0.500 0.000
Bi2 0.000 0.500 0.000
Bi3 0.000 0.500 0.500
Bi4 0.000 0.000 0.000
O1 0.448 0.302 0.802
O2 0.850 0.900 0.400
O3 0.427 0.349 0.400
O4 0.825 0.900 0.849
O5 0.825 0.349 0.400
O6 0.427 0.900 0.849
O7 0.552 0.698 0.198
O8 0.150 0.100 0.600
O9 0.573 0.651 0.600
O10 0.175 0.100 0.151
O11 0.175 0.651 0.600
O12 0.573 0.100 0.151
O13 0.128 0.622 0.122
O14 0.872 0.378 0.878

=====

Computed, not measured: a relaxed InBiO2 crystal at the GGA-PBEsol level of DFT.

Results
SG = R-3m (166)
Energy = -5.680 eV per atom
Spin magnetization = 0.000 μB/atom

a = 3.340 Å, b = 3.340 Å, c = 7.170 Å
α = 76.53°, β = 76.53°, γ = 60.00°
Positions (direct):
Bi1 0.000 0.000 0.000
O1 0.886 0.886 0.343
O2 0.114 0.114 0.657
In1 0.500 0.500 0.500